Entry 1:
# Rb2Tl2Pt

An optimized crystal structure of Rb2Tl2Pt (GGA-PBE, Alexandria via LeMat-Bulk).

```
10
Lattice="5.0005 0.0000 0.0000 2.5003 6.6650 -0.2249 2.5003 -0.0277 11.2144" Properties=species:S:1:pos:R:3 pbc="T T T"
Rb 5.0005 2.4172 3.7602
Rb 7.5008 1.9452 9.7868
Rb 5.0005 4.2201 7.2294
Rb 2.5003 4.6920 1.2027
Tl 2.5002 1.1246 6.2466
Tl 7.5008 5.8930 9.5850
Tl 7.5008 5.5127 4.7429
Tl 2.5002 0.7443 1.4045
Pt 5.0005 0.4396 7.3686
Pt 5.0005 6.1977 3.6210
```

Output
* energy relative to the lowest polymorph listed for this composition: 0.0 meV/atom
* energy of formation from the pure elements: -0.620 eV per formula unit

=====

Entry 2:
# NpCo3

An optimized crystal structure of NpCo3 (GGA-PBE, Alexandria via LeMat-Bulk).

```
4
Lattice="3.7546 0.0000 0.0000 0.0000 3.7547 0.0000 0.0000 0.0000 3.7549" Properties=species:S:1:pos:R:3 pbc="T T T"
Np 0.0000 1.8774 1.5645
Co 0.0000 0.0000 3.4426
Co 1.8773 0.0000 1.5646
Co 1.8773 1.8774 3.4413
```

Output
* energy of formation from the pure elements: -0.171 eV per formula unit

=====

Entry 3:
# BeGeIr2Rh

An optimized crystal structure of BeGeIr2Rh (GGA-PBE, Alexandria via LeMat-Bulk).

```
5
Lattice="4.5180 0.0000 0.0000 0.0000 4.1058 0.0000 0.0000 0.0000 4.5180" Properties=species:S:1:pos:R:3 pbc="T T T"
Be 0.0000 2.0529 0.0000
Ge 0.0000 0.0000 0.0000
Ir 0.0000 0.0000 2.2590
Ir 2.2590 0.0000 0.0000
Rh 2.2590 2.0529 2.2590
```

Output
* energy of formation from the pure elements: 5.643 eV per formula unit

=====

Entry 4:
# Tm2Co2Cu

An optimized crystal structure of Tm2Co2Cu (GGA-PBE, Alexandria via LeMat-Bulk).

```
10
Lattice="-2.2644 4.3022 1.7623 -1.5408 -4.6801 1.8582 6.0863 1.5318 4.0808" Properties=species:S:1:pos:R:3 pbc="T T T"
Tm -0.6791 0.9928 2.0191
Tm 0.5950 -1.8931 3.1141
Tm 2.9602 0.1611 5.6822
Tm 1.6861 3.0470 4.5872
Co 0.2978 0.4690 4.6189
Co -2.6659 2.9703 2.2919
Co 1.9833 0.6849 3.0824
Co 4.9470 -1.8164 5.4094
Cu -0.4046 4.0426 2.5193
Cu 4.2265 1.7914 3.3238
```

Output
* energy of formation from the pure elements: -1.203 eV per formula unit

=====

Entry 5:
# LiTbCe2

An optimized crystal structure of LiTbCe2 (GGA-PBE, Alexandria via LeMat-Bulk).

```
4
Lattice="-1.8728 2.3258 1.3380 -0.5885 -0.0238 3.2187 9.1981 7.7510 3.4024" Properties=species:S:1:pos:R:3 pbc="T T T"
Tb 3.3684 5.0265 3.9796
Ce 6.5917 5.9341 2.9124
Ce 0.1451 4.1189 5.0468
Li 0.0000 0.0000 0.0000
```

Output
* energy relative to the lowest polymorph listed for this composition: 38.6 meV/atom
* energy of formation from the pure elements: 0.971 eV per formula unit

=====

Entry 6:
# PaTlAsO6

An optimized crystal structure of PaTlAsO6 (GGA-PBE, Alexandria via LeMat-Bulk).

```
18
Lattice="-2.1614 -1.8640 7.4953 5.9631 -3.9495 0.7373 0.6783 7.1361 -2.3208" Properties=species:S:1:pos:R:3 pbc="T T T"
Pa -0.7415 2.6360 2.5873
Pa 0.3391 3.5680 -1.1604
Tl 1.9914 0.6737 5.0328
Tl 2.4886 0.6488 0.8790
As 1.9009 -2.9068 4.1163
As -1.0807 -0.9320 3.7476
O 3.7810 2.7681 1.7787
O -0.9106 2.7788 4.7195
O -1.0458 -0.0586 5.3643
O 3.1083 -1.7430 3.3645
O -0.3459 0.5449 2.9374
O 2.4085 -2.3465 5.7914
O 0.6991 -1.4456 4.1331
O 5.3907 -1.4563 1.1923
O 5.5258 1.3811 0.5475
O 1.3717 3.0655 2.5473
O 4.8260 0.7776 2.9744
O 2.0715 3.6690 0.1204
```

Output
* raw formation energy: -180.70 kJ per mole of atoms

=====

In order of appearance, V = 374; 53; 84; 171; 115; 304 Å³ per cell.
In order of appearance, total moment = 0.000; 0.387; 0.000; 0.573; 1.544; 0.000 μB per cell.